This record from Alexandria via LeMat-Bulk describes an optimized crystal structure of Nd8Tm6In. The functional is PBE.

## Properties
Total magnetic moment, μB/f.u.: 0.00
DFT total energy, eV per atom: -4.432
Density of states at the Fermi level, states/eV per cell: 21.5

Unit cell a=9.3054 b=9.3054 c=6.5409 alpha=90.00 beta=90.00 gamma=120.00
With the nearest neighbours (Å) after each atom.
Fractional coordinates of all 15 atoms:
Nd: 0.0423 0.7670 0.3223  1 In 3.19, 3 Nd 3.28-3.33, 2 Tm 3.32-3.47
Nd: 0.2330 0.2753 0.3223  1 In 3.19, 3 Nd 3.28-3.33, 2 Tm 3.32-3.47
Nd: 0.2753 0.0423 0.6777  1 In 3.19, 3 Nd 3.28-3.33, 2 Tm 3.32-3.47
Nd: 0.3333 0.6667 0.3544  3 Nd 3.28
Nd: 0.6667 0.3333 0.6456  3 Nd 3.28
Nd: 0.7247 0.9577 0.3223  1 In 3.19, 3 Nd 3.28-3.33, 2 Tm 3.32-3.47
Nd: 0.7670 0.7247 0.6777  1 In 3.19, 3 Nd 3.28-3.33, 2 Tm 3.32-3.47
Nd: 0.9577 0.2330 0.6777  1 In 3.19, 3 Nd 3.28-3.33, 2 Tm 3.32-3.47
Tm: 0.0994 0.6522 0.8383  3 Tm 3.27-3.66, 5 Nd 3.32-3.66
Tm: 0.3478 0.4472 0.8383  3 Tm 3.27-3.66, 5 Nd 3.32-3.66
Tm: 0.4472 0.0994 0.1617  3 Tm 3.27-3.66, 5 Nd 3.32-3.66
Tm: 0.5528 0.9006 0.8383  3 Tm 3.27-3.66, 5 Nd 3.32-3.66
Tm: 0.6522 0.5528 0.1617  3 Tm 3.27-3.66, 5 Nd 3.32-3.66
Tm: 0.9006 0.3478 0.1617  3 Tm 3.27-3.66, 5 Nd 3.32-3.66
In: 0.0000 0.0000 0.0000  6 Nd 3.19